Pm5Hg | PBE-GGA | relaxed

Cell: 3.6824 3.6824 14.2537 Å, 90.00 90.00 90.00°
Element x y z (fractional)
Pm1 0.0000 0.0000 0.6424
Pm2 0.5000 0.5000 0.8208
Pm3 0.0000 0.0000 0.0000
Pm4 0.5000 0.5000 0.1792
Pm5 0.0000 0.0000 0.3576
Hg1 0.5000 0.5000 0.5000

The value obtained for the final energy is -4.157 eV/atom. The value obtained for the density of states at the Fermi level is 1.336 states/eV per atom. The value obtained for the formation energy from the elements is -0.1482 eV/atom. The value obtained for the polymorph energy (0 for the lowest one) is 0 meV per atom.

=====

Cr3TeOs | PBE-GGA | relaxed

Cell: 4.9323 4.9323 4.9323 Å, 90.00 90.00 90.00°
Each line ends with the local moment (μB).
Element x y z (fractional)
Cr1 0.0000 0.5000 0.0000  3.70
Cr2 0.0000 0.0000 0.5000  3.80
Cr3 0.5000 0.0000 0.0000  3.57
Te1 0.0000 0.0000 0.0000  -0.09
Os1 0.5000 0.5000 0.5000  -1.97

The value obtained for the final energy is -6.645 eV/atom. The value obtained for the density of states at the Fermi level is 1.337 states/eV per atom. As for the uncorrected formation energy: 2.0034 eV/atom.